[1]
This record from Alexandria describes crystalline PmGaCuSn at its relaxed geometry. The functional is PBE.

Computed properties:
* crystal system: cubic
* size of the total moment: 0.00 μB/cell
* ΔH_f (0 K): -1.0 eV per formula unit

Cell lengths 6.997, 6.997, 6.997 Å; angles 90.00, 90.00, 90.00 degrees
Space group F-43m (No. 216)
One atom of each set of equivalent atoms:
Pm (0.000, 0.000, 0.000) (multiplicity 4)
Ga (0.250, 0.250, 0.250) (multiplicity 4)
Cu (0.250, 0.250, 0.750) (multiplicity 4)
Sn (0.000, 0.000, 0.500) (multiplicity 4)

[2]
This record from Alexandria describes crystalline Pm2GaCu4Sn3 at its relaxed geometry. The functional is PBE.

Computed properties:
* crystal system: tetragonal
* size of the total moment: 0.00 μB/cell
* ΔH_f (0 K): -4.3 eV per formula unit

Cell lengths 4.359, 4.359, 10.690 Å; angles 90.00, 90.00, 90.00 degrees
Space group P-4m2 (No. 115)
One atom of each set of equivalent atoms:
Pm (0.000, 0.500, 0.250) (multiplicity 2)
Ga (0.000, 0.000, 0.500) (multiplicity 1)
Cu (0.000, 0.000, 0.000) (multiplicity 1)
Cu (0.000, 0.500, 0.630) (multiplicity 2)
Cu (0.500, 0.500, 0.000) (multiplicity 1)
Sn (0.000, 0.500, 0.867) (multiplicity 2)
Sn (0.500, 0.500, 0.500) (multiplicity 1)

[3]
This record from Alexandria describes crystalline SrPmGaCu at its relaxed geometry. The functional is PBE.

Computed properties:
* crystal system: cubic
* size of the total moment: 0.00 μB/cell
* ΔH_f (0 K): -0.9 eV per formula unit

Cell lengths 7.433, 7.433, 7.433 Å; angles 90.00, 90.00, 90.00 degrees
Space group F-43m (No. 216)
One atom of each set of equivalent atoms:
Sr (0.000, 0.000, 0.000) (multiplicity 4)
Pm (0.000, 0.000, 0.500) (multiplicity 4)
Ga (0.250, 0.250, 0.250) (multiplicity 4)
Cu (0.250, 0.250, 0.750) (multiplicity 4)

- Which formula does entry 3 have?
  SrPmGaCu